No. 1
The following is a PBE calculation of a relaxed structure of CeBS4, from Alexandria via LeMat-Bulk.

abc: 7.3066 8.8807 5.4885
angles: 90.00 104.18 90.00
Closest atoms and distances in Å follow each position.
Fractional positions:
Ce 0.0000 0.0000 0.0000  6 S 2.67-2.86
Ce 0.0000 0.5000 0.5000  6 S 2.67-2.86
B 0.5000 0.0000 0.0000  2 S 1.68
B 0.5000 0.5000 0.5000  2 S 1.68
S 0.0885 0.2488 0.7803  2 Ce 2.67-2.70, 2 S 2.74
S 0.0885 0.2512 0.2803  2 Ce 2.67-2.70, 2 S 2.74
S 0.3805 0.6029 0.6668  1 B 1.68
S 0.3805 0.8971 0.1668  1 B 1.68
S 0.6195 0.1029 0.8332  1 B 1.68
S 0.6195 0.3971 0.3332  1 B 1.68
S 0.9115 0.7488 0.7197  2 Ce 2.67-2.70, 2 S 2.74
S 0.9115 0.7512 0.2197  2 Ce 2.67-2.70, 2 S 2.74

Results
volume = 345.3 Å³ per cell
final energy = -66.97 eV for the cell shown
N(E_F) = 1.70 states/eV/f.u.
space group = P2_1/c (14)
formation energy (no corrections) = -727.7 meV/atom

***

No. 2
The following is a PBE calculation of a relaxed structure of ScTiVC2, from Alexandria via LeMat-Bulk.

abc: 4.1264 4.1264 4.5703
angles: 90.00 90.00 90.00
Closest atoms and distances in Å follow each position.
Fractional positions:
Sc 0.0000 0.0000 0.0000  4 C 2.06, 2 Ti 2.29
Ti 0.0000 0.0000 0.5000  2 Sc 2.29
V 0.5000 0.5000 0.5000  4 Ti 2.92, 8 C 3.08
C 0.0000 0.5000 0.0000  2 Sc 2.06
C 0.5000 0.0000 0.0000  2 Sc 2.06

Results
volume = 77.8 Å³ per cell
formation enthalpy at 0 K = 2.223 eV per atom
final energy = -30.68 eV for the cell shown
N(E_F) = 6.55 states/eV/f.u.
space group = P4/mmm (123)

***

No. 3
The following is a PBE calculation of a relaxed structure of ScSiRu2, from Alexandria via LeMat-Bulk.

abc: 4.2788 4.2788 3.1247
angles: 90.00 90.00 90.00
Closest atoms and distances in Å follow each position.
Fractional positions:
Sc 0.0000 0.0000 0.0000  8 Ru 2.65
Si 0.5000 0.5000 0.0000  8 Ru 2.65
Ru 0.0000 0.5000 0.5000  4 Sc 2.65, 4 Si 2.65
Ru 0.5000 0.0000 0.5000  4 Sc 2.65, 4 Si 2.65

Results
volume = 57.2 Å³ per cell
final energy = -33.03 eV for the cell shown
N(E_F) = 2.22 states/eV/f.u.
space group = P4/mmm (123)
formation energy (no corrections) = -680.1 meV/atom

***

No. 4
The following is a PBE calculation of a relaxed structure of La2SmPuP4, from Alexandria via LeMat-Bulk.

abc: 7.1954 4.1666 7.2106
angles: 90.00 109.46 90.00
Closest atoms and distances in Å follow each position.
Fractional positions:
La 0.0000 0.0000 0.0000  6 P 3.02-3.03
La 0.5000 0.5000 0.0000  6 P 2.98
Sm 0.0000 0.5000 0.5000  6 P 2.91
Pu 0.5000 0.0000 0.5000  6 P 2.86
P 0.2511 0.0000 0.7381  1 Pu 2.86, 2 Sm 2.91, 3 La 2.98-3.02
P 0.2607 0.5000 0.2666  2 Pu 2.86, 1 Sm 2.91, 3 La 2.98-3.03
P 0.7393 0.5000 0.7334  2 Pu 2.86, 1 Sm 2.91, 3 La 2.98-3.03
P 0.7489 0.0000 0.2619  1 Pu 2.86, 2 Sm 2.91, 3 La 2.98-3.02

Results
volume = 203.8 Å³ per cell
formation enthalpy at 0 K = -1.443 eV per atom
final energy = -62.09 eV for the cell shown
N(E_F) = 13.11 states/eV/f.u.
space group = P2/m (10)